DFT (PBE) results for a geometry-optimized ZrMn2Se4 structure.

Calculated values
Its density of states at the Fermi level is 0.1742 states/eV/atom. The value obtained for the formation energy without anion corrections is -0.749 eV per atom. The electronic total energy is -6.581 eV/atom. Its total magnetization is 10.0 μB/f.u.

Cell: 7.8954 7.8954 11.0596 Å, 90.00 90.00 90.00°
Closest atoms and distances in Å follow each position.
Element x y z (fractional)
1 Zr 0.0000 0.2598 0.0000  6 Se 2.67-2.77
2 Zr 0.0000 0.7402 0.5000  6 Se 2.67-2.77
3 Zr 0.2598 0.0000 0.7500  6 Se 2.67-2.77
4 Zr 0.7402 0.0000 0.2500  6 Se 2.67-2.77
5 Mn 0.2493 0.5000 0.7500  6 Se 2.69-2.74
6 Mn 0.2540 0.2540 0.3750  4 Se 2.53-2.54
7 Mn 0.2540 0.7460 0.1250  4 Se 2.53-2.54
8 Mn 0.5000 0.2493 0.0000  6 Se 2.69-2.74
9 Mn 0.5000 0.7507 0.5000  6 Se 2.69-2.74
10 Mn 0.7460 0.2540 0.6250  4 Se 2.53-2.54
11 Mn 0.7460 0.7460 0.8750  4 Se 2.53-2.54
12 Mn 0.7507 0.5000 0.2500  6 Se 2.69-2.74
13 Se 0.0116 0.2474 0.7543  2 Mn 2.54-2.74, 2 Zr 2.72-2.77
14 Se 0.0116 0.7526 0.7457  2 Mn 2.54-2.74, 2 Zr 2.72-2.77
15 Se 0.2474 0.0116 0.9957  2 Mn 2.54-2.74, 2 Zr 2.72-2.77
16 Se 0.2474 0.9884 0.5043  2 Mn 2.54-2.74, 2 Zr 2.72-2.77
17 Se 0.2520 0.4850 0.9929  3 Mn 2.53-2.70, 1 Zr 2.67
18 Se 0.2520 0.5150 0.5071  3 Mn 2.53-2.70, 1 Zr 2.67
19 Se 0.4850 0.2520 0.7571  3 Mn 2.53-2.70, 1 Zr 2.67
20 Se 0.4850 0.7480 0.7429  3 Mn 2.53-2.70, 1 Zr 2.67
21 Se 0.5150 0.2520 0.2429  3 Mn 2.53-2.70, 1 Zr 2.67
22 Se 0.5150 0.7480 0.2571  3 Mn 2.53-2.70, 1 Zr 2.67
23 Se 0.7480 0.4850 0.0071  3 Mn 2.53-2.70, 1 Zr 2.67
24 Se 0.7480 0.5150 0.4929  3 Mn 2.53-2.70, 1 Zr 2.67
25 Se 0.7526 0.0116 0.0043  2 Mn 2.54-2.74, 2 Zr 2.72-2.77
26 Se 0.7526 0.9884 0.4957  2 Mn 2.54-2.74, 2 Zr 2.72-2.77
27 Se 0.9884 0.2474 0.2457  2 Mn 2.54-2.74, 2 Zr 2.72-2.77
28 Se 0.9884 0.7526 0.2543  2 Mn 2.54-2.74, 2 Zr 2.72-2.77